1.
## Ca2RhCl (PBE)

Data for a relaxed Ca2RhCl crystal.

a = 7.0702 Å, b = 7.0702 Å, c = 7.0702 Å
α = 90.00°, β = 90.00°, γ = 90.00°
Closest atoms and distances in Å follow each position.
Space group Fm-3m (No. 225)
Asymmetric unit:
Ca 0.2500 0.2500 0.2500 (multiplicity 8)  4 Cl 3.06, 4 Rh 3.06
Rh 0.0000 0.0000 0.0000 (multiplicity 4)  8 Ca 3.06
Cl 0.0000 0.0000 0.5000 (multiplicity 4)  8 Ca 3.06

## Properties
Polymorph energy (0 for the lowest one) (eV per atom): 0.300
Fermi-level density of states (states/eV/atom): 0.000
Formation energy without anion corrections (meV/atom): -763
Density (g/cm³): 4.11

---

2.
## Ac2DyGe4Au3 (PBE)

Data for a relaxed Ac2DyGe4Au3 crystal.

a = 4.5857 Å, b = 4.5857 Å, c = 11.3272 Å
α = 90.00°, β = 90.00°, γ = 90.00°
Closest atoms and distances in Å follow each position.
Space group P-4m2 (No. 115)
Asymmetric unit:
Ac 0.0000 0.5000 0.2311 (multiplicity 2)  6 Au 3.48-3.81, 8 Ge 3.48-3.51, 2 Dy 3.81
Dy 0.0000 0.0000 0.5000 (multiplicity 1)  4 Ge 2.85
Ge 0.0000 0.0000 0.0000 (multiplicity 1)  4 Au 2.66
Ge 0.0000 0.5000 0.6499 (multiplicity 2)  3 Au 2.61-2.85, 2 Dy 2.85
Ge 0.5000 0.5000 0.0000 (multiplicity 1)  4 Au 2.66
Au 0.0000 0.5000 0.8801 (multiplicity 2)  5 Ge 2.61-2.66
Au 0.5000 0.5000 0.5000 (multiplicity 1)  4 Ge 2.85

## Properties
Energy relative to the elements (meV per atom): -675
Fermi-level density of states (states/eV/atom): 0.238
Density (g/cm³): 10.44

---

3.
## CeSm2PaN4 (PBE)

Data for a relaxed CeSm2PaN4 crystal.

a = 6.1521 Å, b = 3.5623 Å, c = 6.1688 Å
α = 90.00°, β = 109.41°, γ = 90.00°
Closest atoms and distances in Å follow each position.
Space group P2/m (No. 10)
Asymmetric unit:
Ce 0.0000 0.0000 0.0000 (multiplicity 1)  6 N 2.50
Sm 0.5000 0.0000 0.5000 (multiplicity 1)  6 N 2.54-2.55
Sm 0.5000 0.5000 0.0000 (multiplicity 1)  6 N 2.63-2.65
Pa 0.0000 0.5000 0.5000 (multiplicity 1)  6 N 2.38-2.41
N 0.2269 0.0000 0.7302 (multiplicity 2)  2 Pa 2.41, 1 Ce 2.50, 3 Sm 2.54-2.63
N 0.2311 0.5000 0.2586 (multiplicity 2)  1 Pa 2.38, 2 Ce 2.50, 3 Sm 2.55-2.65

## Properties
Fermi-level density of states (states/eV/atom): 0.636
Formation energy without anion corrections (meV/atom): -1573
Density (g/cm³): 9.48

---

4.
## Li4AcCd (PBE)

Data for a relaxed Li4AcCd crystal.

a = 8.1866 Å, b = 8.1866 Å, c = 8.1866 Å
α = 90.00°, β = 90.00°, γ = 90.00°
Closest atoms and distances in Å follow each position.
Space group F-43m (No. 216)
Asymmetric unit:
Li 0.1225 0.1225 0.1225 (multiplicity 16)  6 Li 2.84-2.95
Ac 0.0000 0.0000 0.5000 (multiplicity 4)  12 Li 3.40, 4 Cd 3.54
Cd 0.2500 0.2500 0.7500 (multiplicity 4)  12 Li 3.39, 4 Ac 3.54

## Properties
Energy relative to the elements (meV per atom): -72
Fermi-level density of states (states/eV/atom): 0.688
Density (g/cm³): 4.44

---

5.
## LiIrRh2 (PBE)

Data for a relaxed LiIrRh2 crystal.

a = 3.7314 Å, b = 3.7314 Å, c = 17.1679 Å
α = 90.00°, β = 90.00°, γ = 90.00°
Closest atoms and distances in Å follow each position.
Space group I-42d (No. 122)
Asymmetric unit:
Li 0.0000 0.0000 0.0000 (multiplicity 4)  4 Rh 2.50, 4 Ir 2.64
Ir 0.0000 0.0000 0.5000 (multiplicity 4)  4 Rh 2.53, 4 Li 2.64
Rh 0.2392 0.2500 0.1250 (multiplicity 8)  2 Li 2.50, 2 Ir 2.53, 4 Rh 2.58-2.70

## Properties
Energy relative to the elements (meV per atom): 416
Polymorph energy (0 for the lowest one) (eV per atom): 0.539
Fermi-level density of states (states/eV/atom): 1.494
Density (g/cm³): 11.25

---

6.
## PmHo2Ag9 (PBE)

Data for a relaxed PmHo2Ag9 crystal.

a = 5.6843 Å, b = 5.6843 Å, c = 27.5637 Å
α = 90.00°, β = 90.00°, γ = 120.00°
Closest atoms and distances in Å follow each position.
Space group R-3m (No. 166, hexagonal axes)
Asymmetric unit:
Pm 0.0000 0.0000 0.0000 (multiplicity 3)  6 Ag 3.28
Ho 0.0000 0.0000 0.1434 (multiplicity 6)  12 Ag 3.26-3.34, 3 Ho 3.52
Ag 0.0000 0.0000 0.3335 (multiplicity 6)  6 Ag 2.86-2.88
Ag 0.0000 0.0000 0.5000 (multiplicity 3)  6 Ag 2.79
Ag 0.0043 0.5021 0.9148 (multiplicity 18)  7 Ag 2.79-2.88

## Properties
Energy relative to the elements (meV per atom): -156
Fermi-level density of states (states/eV/atom): 0.826
Density (g/cm³): 9.34

---

7.
## GdYTe2 (PBE)

Data for a relaxed GdYTe2 crystal.

a = 7.6105 Å, b = 7.6105 Å, c = 7.6105 Å
α = 90.00°, β = 90.00°, γ = 90.00°
Closest atoms and distances in Å follow each position.
Space group Fm-3m (No. 225)
Asymmetric unit:
Gd 0.0000 0.0000 0.0000 (multiplicity 4)  8 Te 3.30
Y 0.0000 0.0000 0.5000 (multiplicity 4)  8 Te 3.30
Te 0.2500 0.2500 0.2500 (multiplicity 8)  4 Gd 3.30, 4 Y 3.30

## Properties
Polymorph energy (0 for the lowest one) (eV per atom): 0.131
Fermi-level density of states (states/eV/atom): 1.067
Formation energy without anion corrections (meV/atom): -1236
Density (g/cm³): 7.55

---

8.
## BaIn2Te (PBE)

Data for a relaxed BaIn2Te crystal.

a = 4.7530 Å, b = 4.7530 Å, c = 12.5201 Å
α = 90.00°, β = 90.00°, γ = 90.00°
Closest atoms and distances in Å follow each position.
Space group I4/mmm (No. 139)
Asymmetric unit:
Ba 0.0000 0.0000 0.0000 (multiplicity 2)  4 Te 3.36
In 0.0000 0.5000 0.2500 (multiplicity 4)  4 In 3.36
Te 0.0000 0.0000 0.5000 (multiplicity 2)  4 Ba 3.36

## Properties
Fermi-level density of states (states/eV/atom): 0.556
Formation energy without anion corrections (meV/atom): -581
Density (g/cm³): 5.81

---

> Look up the Fermi-level density of states of the sixth one.

0.826 states/eV/atom

---

> density of number 5 (LiIrRh2)?

11.25 g/cm³

---

> Which formula does entry 1 have?

Ca2RhCl